## DyHo2Al (PBE)

Data for a relaxed DyHo2Al crystal.

The total energy is -73.199 eV per cell. The value obtained for the density of states at the Fermi level is 16.18 states/eV/cell.

The structure belongs to space group Amm2 (No. 38); the cell edges are 5.2823, 6.8100 and 11.7849 Å and the angles 90.00°, 90.00° and 90.00°. The asymmetric unit holds Dy at (0.0000, 0.2377, 0.0000), Ho at (0.0000, 0.0000, 0.7622), Ho at (0.5000, 0.0000, 0.4130), Ho at (0.5000, 0.2378, 0.1751), Al at (0.0000, 0.0000, 0.2544) and Al at (0.5000, 0.0000, 0.9203).